Record 1
DFT (PBE) results for a relaxed structure of AcEr6Tm4. Values from VASP.

Geometry as Quantum ESPRESSO input:
```
&SYSTEM
  ibrav = 0, nat = 22, ntyp = 3
/
ATOMIC_SPECIES
Ac 227.00 Ac.upf
Er 167.26 Er.upf
Tm 168.93 Tm.upf
ATOMIC_POSITIONS crystal
Ac 0.8264 0.6527 0.2500
Ac 0.1736 0.3473 0.7500
Er 0.5000 0.0000 0.0000
Er 0.5000 0.0000 0.5000
Er 0.1598 0.3196 0.3213
Er 0.8402 0.6804 0.6787
Er 0.8402 0.6804 0.8213
Er 0.1598 0.3196 0.1787
Er 0.8277 0.6553 0.4017
Er 0.1723 0.3447 0.5983
Er 0.1723 0.3447 0.9017
Er 0.8277 0.6553 0.0983
Er 0.4923 0.9846 0.2500
Er 0.5077 0.0154 0.7500
Tm 0.8354 0.6709 0.5411
Tm 0.4929 0.9858 0.1219
Tm 0.1646 0.3291 0.4589
Tm 0.5071 0.0142 0.8781
Tm 0.8354 0.6709 0.9589
Tm 0.1646 0.3291 0.0411
Tm 0.5071 0.0142 0.6219
Tm 0.4929 0.9858 0.3781
CELL_PARAMETERS angstrom
-1.3012 -3.9648 3.8370
4.6451 -0.5232 -3.1530
13.3302 12.6062 17.5466
```

Computed properties:
DOS(E_F) = 37.52 states/eV/cell
Total moment = 0.0000 μB/atom
Formation enthalpy at 0 K = 0.143 eV/atom
Electronic total energy = -95.6 eV/cell

=====

Record 2
DFT (PBE) results for a relaxed structure of Sr7Tl2Sn2. Values from VASP.

Geometry as Quantum ESPRESSO input:
```
&SYSTEM
  ibrav = 0, nat = 11, ntyp = 3
/
ATOMIC_SPECIES
Sr 87.62 Sr.upf
Tl 204.38 Tl.upf
Sn 118.71 Sn.upf
ATOMIC_POSITIONS crystal
Sr 0.9998 0.2881 0.5003
Sr 0.5003 0.7119 0.9998
Sr 0.0002 0.7119 0.4997
Sr 0.4997 0.2881 0.0002
Sr 0.0000 0.0000 0.0000
Sr 0.5002 0.7460 0.4998
Sr 0.4998 0.2540 0.5002
Tl 0.7133 0.0000 0.2867
Tl 0.2867 0.0000 0.7133
Sn 0.8211 0.5000 0.8211
Sn 0.1789 0.5000 0.1789
CELL_PARAMETERS angstrom
0.0879 -3.2176 -6.7835
6.7143 -5.0287 2.4723
-4.5165 -3.7155 4.7088
```

Computed properties:
DOS(E_F) = 10.68 states/eV/cell
Total moment = 0.0000 μB/atom
Formation enthalpy at 0 K = -0.271 eV/atom
Electronic total energy = -27.5 eV/cell

=====

Record 3
DFT (PBE) results for a relaxed structure of NdDy2N3. Values from VASP.

Geometry as Quantum ESPRESSO input:
```
&SYSTEM
  ibrav = 0, nat = 12, ntyp = 3
/
ATOMIC_SPECIES
Nd 144.24 Nd.upf
Dy 162.50 Dy.upf
N 14.01 N.upf
ATOMIC_POSITIONS crystal
Nd 0.0002 0.9998 0.0000
Nd 0.6665 0.3335 0.0000
Dy 0.8333 0.1667 0.5000
Dy 0.3333 0.6667 0.0000
Dy 0.1682 0.8318 0.5000
Dy 0.4985 0.5015 0.5000
N 0.5738 0.9071 0.7427
N 0.0929 0.4262 0.2573
N 0.9216 0.5810 0.7429
N 0.2476 0.2549 0.7429
N 0.4190 0.0784 0.2571
N 0.7451 0.7524 0.2571
CELL_PARAMETERS angstrom
6.0394 -0.0205 -1.0094
-3.2556 5.0869 -1.0095
-0.0107 -0.0195 6.1231
```

Computed properties:
DOS(E_F) = 0.17 states/eV/cell
Total moment = 0.0000 μB/atom
Electronic total energy = -96.7 eV/cell
Formation energy without anion corrections = -151 kJ per mole of atoms

=====

Record 4
DFT (PBE) results for a relaxed structure of Cd2AgSe. Values from VASP.

Geometry as Quantum ESPRESSO input:
```
&SYSTEM
  ibrav = 0, nat = 4, ntyp = 3
/
ATOMIC_SPECIES
Ag 107.87 Ag.upf
Cd 112.41 Cd.upf
Se 78.96 Se.upf
ATOMIC_POSITIONS crystal
Ag 0.0000 0.5000 0.5000
Cd 0.0000 0.0000 0.0000
Cd 0.5000 0.5000 0.0000
Se 0.5000 0.0000 0.5000
CELL_PARAMETERS angstrom
4.1611 0.0000 0.0000
0.0000 5.7597 0.0000
0.0000 0.0000 3.8045
```

Computed properties:
DOS(E_F) = 0.92 states/eV/cell
Total moment = 0.0000 μB/atom
Electronic total energy = -8.2 eV/cell
Formation energy without anion corrections = 0 kJ per mole of atoms

=====

Record 5
DFT (PBE) results for a relaxed structure of Mn2MoIrN. Values from VASP.

Geometry as Quantum ESPRESSO input:
```
&SYSTEM
  ibrav = 0, nat = 5, ntyp = 4
/
ATOMIC_SPECIES
Mo 95.94 Mo.upf
Ir 192.22 Ir.upf
Mn 54.94 Mn.upf
N 14.01 N.upf
ATOMIC_POSITIONS crystal
Mo 0.0000 0.0000 0.5000
Ir 0.5000 0.5000 0.5000
Mn 0.0000 0.5000 0.0000
Mn 0.5000 0.0000 0.0000
N 0.0000 0.0000 0.0000
CELL_PARAMETERS angstrom
-3.2266 -1.7987 -0.9154
1.7833 -1.7325 -2.8814
1.0061 -3.0571 2.4607
```

Computed properties:
DOS(E_F) = 5.38 states/eV/cell
Total moment = 0.1184 μB/atom
Electronic total energy = -47.2 eV/cell
Formation energy without anion corrections = -17 kJ per mole of atoms

=====

Record 6
DFT (PBE) results for a relaxed structure of LiY2Si. Values from VASP.

Geometry as Quantum ESPRESSO input:
```
&SYSTEM
  ibrav = 0, nat = 4, ntyp = 3
/
ATOMIC_SPECIES
Y 88.91 Y.upf
Si 28.09 Si.upf
Li 6.94 Li.upf
ATOMIC_POSITIONS crystal
Y 0.0000 0.0000 0.0000
Y 0.5000 0.5000 0.0000
Si 0.0000 0.5000 0.5000
Li 0.5000 0.0000 0.5000
CELL_PARAMETERS angstrom
4.7974 0.0149 0.0000
-0.0125 4.7975 0.0000
0.0000 0.0000 3.9016
```

Computed properties:
DOS(E_F) = 3.09 states/eV/cell
Total moment = 0.0004 μB/atom
Electronic total energy = -21.7 eV/cell
Formation energy without anion corrections = -35 kJ per mole of atoms

=====

Look up the electronic total energy of the sixth one. -21.7 eV/cell

=====

Please write out number 5 again, unchanged.
DFT (PBE) results for a relaxed structure of Mn2MoIrN. Values from VASP.

Geometry as Quantum ESPRESSO input:
```
&SYSTEM
  ibrav = 0, nat = 5, ntyp = 4
/
ATOMIC_SPECIES
Mo 95.94 Mo.upf
Ir 192.22 Ir.upf
Mn 54.94 Mn.upf
N 14.01 N.upf
ATOMIC_POSITIONS crystal
Mo 0.0000 0.0000 0.5000
Ir 0.5000 0.5000 0.5000
Mn 0.0000 0.5000 0.0000
Mn 0.5000 0.0000 0.0000
N 0.0000 0.0000 0.0000
CELL_PARAMETERS angstrom
-3.2266 -1.7987 -0.9154
1.7833 -1.7325 -2.8814
1.0061 -3.0571 2.4607
```

Computed properties:
DOS(E_F) = 5.38 states/eV/cell
Total moment = 0.1184 μB/atom
Electronic total energy = -47.2 eV/cell
Formation energy without anion corrections = -17 kJ per mole of atoms

=====

DOS(E_F) of number 3 (NdDy2N3)? 0.17 states/eV/cell

=====

What did the first record say?
DFT (PBE) results for a relaxed structure of AcEr6Tm4. Values from VASP.

Geometry as Quantum ESPRESSO input:
```
&SYSTEM
  ibrav = 0, nat = 22, ntyp = 3
/
ATOMIC_SPECIES
Ac 227.00 Ac.upf
Er 167.26 Er.upf
Tm 168.93 Tm.upf
ATOMIC_POSITIONS crystal
Ac 0.8264 0.6527 0.2500
Ac 0.1736 0.3473 0.7500
Er 0.5000 0.0000 0.0000
Er 0.5000 0.0000 0.5000
Er 0.1598 0.3196 0.3213
Er 0.8402 0.6804 0.6787
Er 0.8402 0.6804 0.8213
Er 0.1598 0.3196 0.1787
Er 0.8277 0.6553 0.4017
Er 0.1723 0.3447 0.5983
Er 0.1723 0.3447 0.9017
Er 0.8277 0.6553 0.0983
Er 0.4923 0.9846 0.2500
Er 0.5077 0.0154 0.7500
Tm 0.8354 0.6709 0.5411
Tm 0.4929 0.9858 0.1219
Tm 0.1646 0.3291 0.4589
Tm 0.5071 0.0142 0.8781
Tm 0.8354 0.6709 0.9589
Tm 0.1646 0.3291 0.0411
Tm 0.5071 0.0142 0.6219
Tm 0.4929 0.9858 0.3781
CELL_PARAMETERS angstrom
-1.3012 -3.9648 3.8370
4.6451 -0.5232 -3.1530
13.3302 12.6062 17.5466
```

Computed properties:
DOS(E_F) = 37.52 states/eV/cell
Total moment = 0.0000 μB/atom
Formation enthalpy at 0 K = 0.143 eV/atom
Electronic total energy = -95.6 eV/cell